Entry 1:
PBE RbMo3Cl, relaxed; ΔE to the lowest computed polymorph = 1.801 eV per atom; raw total energy = -3.49 eV/atom; uncorrected formation energy = 3575 meV per atom
1.0
4.8095 0.0000 0.0000
0.0000 4.8095 0.0000
0.0000 0.0000 4.8095
Rb Mo Cl
1 3 1
direct
0.0000 0.0000 0.0000 Rb
0.0000 0.0000 0.5000 Mo
0.0000 0.5000 0.0000 Mo
0.5000 0.0000 0.0000 Mo
0.5000 0.5000 0.5000 Cl

=====

Entry 2:
PBE SiNi2Te, relaxed; ΔE to the lowest computed polymorph = 0.191 eV per atom; raw total energy = -5.06 eV/atom; uncorrected formation energy = -25 meV per atom
1.0
3.8308 0.0000 0.0000
-1.9154 3.3176 0.0000
0.0000 0.0000 16.9970
Si Ni Te
3 6 3
direct
0.0000 0.0000 0.0000 Si
0.3333 0.6667 0.6667 Si
0.6667 0.3333 0.3333 Si
0.0000 0.0000 0.3117 Ni
0.0000 0.0000 0.5838 Ni
0.3333 0.6667 0.2505 Ni
0.3333 0.6667 0.9784 Ni
0.6667 0.3333 0.6451 Ni
0.6667 0.3333 0.9172 Ni
0.0000 0.0000 0.8369 Te
0.3333 0.6667 0.5035 Te
0.6667 0.3333 0.1702 Te

=====

Entry 3:
PBE NaPtPb2, relaxed; calculated formation energy = -133.9 meV per atom; raw total energy = -3.83 eV/atom
1.0
7.1441 0.0000 0.0000
0.0000 7.1441 0.0000
0.0000 0.0000 7.1441
Na Pt Pb
4 4 8
direct
0.0000 0.0000 0.0000 Na
0.0000 0.5000 0.5000 Na
0.5000 0.0000 0.5000 Na
0.5000 0.5000 0.0000 Na
0.0000 0.0000 0.5000 Pt
0.0000 0.5000 0.0000 Pt
0.5000 0.0000 0.0000 Pt
0.5000 0.5000 0.5000 Pt
0.2500 0.2500 0.2500 Pb
0.2500 0.2500 0.7500 Pb
0.2500 0.7500 0.2500 Pb
0.2500 0.7500 0.7500 Pb
0.7500 0.2500 0.2500 Pb
0.7500 0.2500 0.7500 Pb
0.7500 0.7500 0.2500 Pb
0.7500 0.7500 0.7500 Pb

=====

Entry 4:
PBE InCu2B2, relaxed; calculated formation energy = 1001.4 meV per atom; ΔE to the lowest computed polymorph = 0.492 eV per atom; raw total energy = -3.86 eV/atom
1.0
6.8675 0.0000 0.0000
0.0000 6.8675 0.0000
0.0000 0.0000 2.5907
In Cu B
2 4 4
direct
0.0000 0.0000 0.0000 In
0.5000 0.5000 0.0000 In
0.1258 0.3742 0.0000 Cu
0.3742 0.8742 0.0000 Cu
0.6258 0.1258 0.0000 Cu
0.8742 0.6258 0.0000 Cu
0.1671 0.6671 0.5000 B
0.3329 0.1671 0.5000 B
0.6671 0.8329 0.5000 B
0.8329 0.3329 0.5000 B

=====

Entry 5:
PBE InGeTe3, relaxed; raw total energy = -3.12 eV/atom; uncorrected formation energy = 233 meV per atom
1.0
5.4853 0.0000 0.0000
0.0000 5.4853 0.0000
0.0000 0.0000 5.4853
In Ge Te
1 1 3
direct
0.0000 0.0000 0.0000 In
0.5000 0.5000 0.5000 Ge
0.0000 0.5000 0.5000 Te
0.5000 0.0000 0.5000 Te
0.5000 0.5000 0.0000 Te

=====

Entry 6:
PBE Sr2Cd6Au3, relaxed; calculated formation energy = -392.0 meV per atom; raw total energy = -2.09 eV/atom
1.0
8.5766 0.0000 0.0000
-4.2883 7.4276 0.0000
0.0000 0.0000 4.4444
Sr Cd Au
2 6 3
direct
0.3333 0.6667 0.0000 Sr
0.6667 0.3333 0.0000 Sr
0.0000 0.1979 0.0000 Cd
0.0000 0.7190 0.5000 Cd
0.1979 0.0000 0.0000 Cd
0.2810 0.2810 0.5000 Cd
0.7190 0.0000 0.5000 Cd
0.8021 0.8021 0.0000 Cd
0.0000 0.3976 0.5000 Au
0.3976 0.0000 0.5000 Au
0.6024 0.6024 0.5000 Au

=====

Entry 7:
PBE Tm5ScSn4, relaxed; calculated formation energy = -365.2 meV per atom; raw total energy = -4.84 eV/atom
1.0
8.3928 -2.2408 0.0000
8.3928 2.2408 0.0000
-0.5548 0.0000 7.5092
Tm Sc Sn
5 1 4
direct
0.0000 0.0000 0.0000 Tm
0.2846 0.2846 0.8495 Tm
0.3656 0.3656 0.2988 Tm
0.6344 0.6344 0.7012 Tm
0.7154 0.7154 0.1505 Tm
0.0000 0.0000 0.5000 Sc
0.1859 0.1859 0.4354 Sn
0.4534 0.4534 0.7310 Sn
0.5466 0.5466 0.2690 Sn
0.8141 0.8141 0.5646 Sn

=====

Entry 8:
PBE PmEu2Ag, relaxed; calculated formation energy = -85.4 meV per atom; ΔE to the lowest computed polymorph = 0.000 eV per atom; raw total energy = -7.12 eV/atom
1.0
3.7833 0.0000 0.0000
0.0000 3.7833 0.0000
0.0000 0.0000 9.1779
Pm Eu Ag
1 2 1
direct
0.0000 0.0000 0.0000 Pm
0.5000 0.5000 0.2944 Eu
0.5000 0.5000 0.7056 Eu
0.0000 0.0000 0.5000 Ag

=====

Entry 9:
PBE PuCo2GeN, relaxed; raw total energy = -8.87 eV/atom; uncorrected formation energy = -574 meV per atom
1.0
1.7875 -5.5326 0.0000
1.7875 5.5326 0.0000
0.0000 0.0000 6.8296
Pu Co Ge N
2 4 2 2
direct
0.0394 0.9606 0.7500 Pu
0.9606 0.0394 0.2500 Pu
0.3363 0.6637 0.5528 Co
0.3363 0.6637 0.9472 Co
0.6637 0.3363 0.0528 Co
0.6637 0.3363 0.4472 Co
0.2325 0.7675 0.2500 Ge
0.7675 0.2325 0.7500 Ge
0.5000 0.5000 0.0000 N
0.5000 0.5000 0.5000 N

=====

Entry 10:
PBE SiHgIr2, relaxed; ΔE to the lowest computed polymorph = 0.633 eV per atom; raw total energy = -5.42 eV/atom; uncorrected formation energy = 442 meV per atom
1.0
2.9189 0.0000 0.0000
0.0000 4.4369 0.0000
0.0000 0.0000 5.0127
Si Hg Ir
1 1 2
direct
0.0000 0.0000 0.0000 Si
0.5000 0.0000 0.5000 Hg
0.0000 0.5000 0.5000 Ir
0.5000 0.5000 0.0000 Ir

=====

Entry 11:
PBE Tm3UO7, relaxed; raw total energy = -8.91 eV/atom; uncorrected formation energy = -3513 meV per atom
1.0
3.7482 -5.3237 0.0000
3.7482 5.3237 0.0000
0.0000 0.0000 7.6013
Tm U O
6 2 14
direct
0.0000 0.0000 0.0000 Tm
0.0000 0.0000 0.5000 Tm
0.0304 0.5066 0.7500 Tm
0.4934 0.9696 0.7500 Tm
0.5066 0.0304 0.2500 Tm
0.9696 0.4934 0.2500 Tm
0.5000 0.5000 0.0000 U
0.5000 0.5000 0.5000 U
0.1329 0.8671 0.7500 O
0.1350 0.8650 0.2500 O
0.1597 0.4116 0.0306 O
0.1597 0.4116 0.4694 O
0.4001 0.5999 0.7500 O
0.4116 0.1597 0.5306 O
0.4116 0.1597 0.9694 O
0.5884 0.8403 0.0306 O
0.5884 0.8403 0.4694 O
0.5999 0.4001 0.2500 O
0.8403 0.5884 0.5306 O
0.8403 0.5884 0.9694 O
0.8650 0.1350 0.7500 O
0.8671 0.1329 0.2500 O

=====

Entry 12:
PBE Be2ZnF6, relaxed; ΔE to the lowest computed polymorph = 0.066 eV per atom; raw total energy = -5.08 eV/atom; uncorrected formation energy = -2866 meV per atom
1.0
4.8333 -1.4293 0.0000
4.8333 1.4293 0.0000
-0.9089 0.0000 7.7614
Be Zn F
2 1 6
direct
0.2069 0.2069 0.2247 Be
0.7931 0.7931 0.7753 Be
0.5000 0.5000 0.5000 Zn
0.1156 0.1156 0.3865 F
0.3293 0.3293 0.8651 F
0.3621 0.3621 0.2925 F
0.6379 0.6379 0.7075 F
0.6707 0.6707 0.1349 F
0.8844 0.8844 0.6135 F

=====

Entry 13:
PBE NaLiCu, relaxed; calculated formation energy = 101.9 meV per atom; ΔE to the lowest computed polymorph = 0.000 eV per atom; raw total energy = -2.34 eV/atom
1.0
10.9266 0.0000 0.0000
0.0000 4.3532 0.0000
0.0000 0.0000 5.1889
Na Li Cu
4 4 4
direct
0.2284 0.2500 0.0924 Na
0.2716 0.7500 0.5924 Na
0.7284 0.2500 0.4076 Na
0.7716 0.7500 0.9076 Na
0.0351 0.2500 0.6220 Li
0.4649 0.7500 0.1220 Li
0.5351 0.2500 0.8780 Li
0.9649 0.7500 0.3780 Li
0.0359 0.7500 0.9095 Cu
0.4641 0.2500 0.4095 Cu
0.5359 0.7500 0.5905 Cu
0.9641 0.2500 0.0905 Cu

=====

Entry 14:
PBE Sc2BeCu6Au, relaxed; calculated formation energy = -107.6 meV per atom; raw total energy = -4.53 eV/atom
1.0
4.8368 0.0000 0.0000
2.3060 5.5192 0.0000
2.3446 1.5200 5.5502
Sc Be Cu Au
2 1 6 1
direct
0.0147 0.2403 0.2351 Sc
0.9853 0.7597 0.7649 Sc
0.5000 0.5000 0.0000 Be
0.0158 0.6700 0.2991 Cu
0.3102 0.9285 0.9490 Cu
0.4815 0.3362 0.7042 Cu
0.5185 0.6638 0.2958 Cu
0.6898 0.0715 0.0510 Cu
0.9842 0.3300 0.7009 Cu
0.5000 0.0000 0.5000 Au

=====

Entry 15:
PBE K3NpAg2O6, relaxed; raw total energy = -5.92 eV/atom; uncorrected formation energy = -1612 meV per atom
1.0
2.9911 -5.7507 0.0000
2.9911 5.7507 0.0000
-1.2766 0.0000 5.9688
K Np Ag O
3 1 2 6
direct
0.0000 0.0000 0.0000 K
0.3152 0.6848 0.0000 K
0.6848 0.3152 0.0000 K
0.5000 0.5000 0.5000 Np
0.1460 0.8540 0.5000 Ag
0.8540 0.1460 0.5000 Ag
0.1478 0.4053 0.3238 O
0.3503 0.3503 0.7541 O
0.4053 0.1478 0.3238 O
0.5947 0.8522 0.6762 O
0.6497 0.6497 0.2459 O
0.8522 0.5947 0.6762 O

=====

Entry 16:
PBE TiNb2CdIr, relaxed; calculated formation energy = 917.8 meV per atom; raw total energy = -6.64 eV/atom
1.0
4.7210 0.0000 0.0000
0.0000 4.7210 0.0000
0.0000 0.0000 4.6342
Ti Nb Cd Ir
1 2 1 1
direct
0.0000 0.0000 0.0000 Ti
0.0000 0.5000 0.0000 Nb
0.5000 0.0000 0.0000 Nb
0.5000 0.5000 0.5000 Cd
0.0000 0.0000 0.5000 Ir

=====

Entry 17:
PBE Mg7GaSn4, relaxed; calculated formation energy = -5.3 meV per atom; raw total energy = -2.52 eV/atom
1.0
6.5056 -2.7281 0.0000
6.5056 2.7281 0.0000
-5.9911 0.0000 8.6126
Mg Ga Sn
7 1 4
direct
0.0000 0.0000 0.0000 Mg
0.1719 0.1719 0.8855 Mg
0.2608 0.2608 0.6805 Mg
0.4280 0.4280 0.5756 Mg
0.5720 0.5720 0.4244 Mg
0.7392 0.7392 0.3195 Mg
0.8281 0.8281 0.1145 Mg
0.5000 0.5000 0.0000 Ga
0.1099 0.1099 0.3297 Sn
0.2934 0.2934 0.2266 Sn
0.7066 0.7066 0.7734 Sn
0.8901 0.8901 0.6703 Sn

=====

Entry 18:
PBE ScTi2Ge2, relaxed; calculated formation energy = -564.9 meV per atom; ΔE to the lowest computed polymorph = 0.062 eV per atom; raw total energy = -6.84 eV/atom
1.0
3.9224 0.0000 0.0000
0.0000 3.9224 0.0000
0.0000 0.0000 11.7681
Sc Ti Ge
2 4 4
direct
0.0000 0.0000 0.0000 Sc
0.5000 0.5000 0.5000 Sc
0.0000 0.5000 0.2500 Ti
0.0000 0.5000 0.7500 Ti
0.5000 0.0000 0.2500 Ti
0.5000 0.0000 0.7500 Ti
0.0000 0.0000 0.3968 Ge
0.0000 0.0000 0.6032 Ge
0.5000 0.5000 0.1032 Ge
0.5000 0.5000 0.8968 Ge

=====

Entry 19:
PBE SrBPb2, relaxed; calculated formation energy = 292.7 meV per atom; raw total energy = -3.65 eV/atom
1.0
8.1853 0.0000 0.0000
0.0000 8.1853 0.0000
0.0000 0.0000 6.3366
Sr B Pb
4 4 8
direct
0.0000 0.0000 0.0000 Sr
0.0000 0.5000 0.2500 Sr
0.5000 0.0000 0.7500 Sr
0.5000 0.5000 0.5000 Sr
0.0000 0.0000 0.5000 B
0.0000 0.5000 0.7500 B
0.5000 0.0000 0.2500 B
0.5000 0.5000 0.0000 B
0.1606 0.2500 0.6250 Pb
0.2500 0.6606 0.8750 Pb
0.2500 0.8394 0.3750 Pb
0.3394 0.2500 0.1250 Pb
0.6606 0.7500 0.1250 Pb
0.7500 0.1606 0.3750 Pb
0.7500 0.3394 0.8750 Pb
0.8394 0.7500 0.6250 Pb

=====

Entry 20:
PBE LaGeOs, relaxed; calculated formation energy = -364.9 meV per atom; raw total energy = -7.29 eV/atom
1.0
4.1907 0.0000 0.0000
0.0000 4.4462 0.0000
0.0000 0.0000 14.6427
La Ge Os
4 4 4
direct
0.0000 0.0000 0.0000 La
0.0000 0.5000 0.2506 La
0.5000 0.0000 0.7506 La
0.5000 0.5000 0.5000 La
0.0000 0.0000 0.4234 Ge
0.0000 0.5000 0.6653 Ge
0.5000 0.0000 0.1653 Ge
0.5000 0.5000 0.9234 Ge
0.0000 0.0000 0.5912 Os
0.0000 0.5000 0.8352 Os
0.5000 0.0000 0.3352 Os
0.5000 0.5000 0.0912 Os

=====

Entry 21:
PBE BaMoCl, relaxed; ΔE to the lowest computed polymorph = 1.076 eV per atom; raw total energy = -4.42 eV/atom; uncorrected formation energy = 443 meV per atom
1.0
5.1876 0.0000 0.0000
-2.5938 4.4926 0.0000
0.0000 0.0000 3.9956
Ba Mo Cl
1 1 1
direct
0.0000 0.0000 0.0000 Ba
0.3333 0.6667 0.5000 Mo
0.6667 0.3333 0.5000 Cl

=====

Entry 22:
PBE Sr6Ag5, relaxed; calculated formation energy = -230.7 meV per atom; raw total energy = -2.44 eV/atom
1.0
-2.7813 3.9417 8.3398
2.7813 -3.9417 8.3398
2.7813 3.9417 -8.3398
Sr Ag
6 5
direct
0.0814 0.3327 0.7487 Sr
0.2474 0.0000 0.2474 Sr
0.4160 0.6673 0.7487 Sr
0.5840 0.3327 0.2513 Sr
0.7526 0.0000 0.7526 Sr
0.9186 0.6673 0.2513 Sr
0.0000 0.5000 0.5000 Ag
0.1671 0.1671 0.0000 Ag
0.3339 0.8339 0.5000 Ag
0.6661 0.1661 0.5000 Ag
0.8329 0.8329 0.0000 Ag

=====

Entry 23:
PBE AcPm6Sn6, relaxed; calculated formation energy = -485.0 meV per atom; raw total energy = -4.84 eV/atom
1.0
7.3294 0.0000 0.0000
-3.6647 6.3474 0.0000
0.0000 0.0000 9.4313
Ac Pm Sn
1 6 6
direct
0.0000 0.0000 0.0000 Ac
0.0000 0.5000 0.2539 Pm
0.0000 0.5000 0.7461 Pm
0.5000 0.0000 0.2539 Pm
0.5000 0.0000 0.7461 Pm
0.5000 0.5000 0.2539 Pm
0.5000 0.5000 0.7461 Pm
0.0000 0.0000 0.3459 Sn
0.0000 0.0000 0.6541 Sn
0.3333 0.6667 0.0000 Sn
0.3333 0.6667 0.5000 Sn
0.6667 0.3333 0.0000 Sn
0.6667 0.3333 0.5000 Sn

=====

Entry 24:
PBE Li2GdIr, relaxed; calculated formation energy = -169.3 meV per atom; ΔE to the lowest computed polymorph = 0.000 eV per atom; raw total energy = -6.86 eV/atom
1.0
6.4169 0.0000 0.0000
0.0000 6.4169 0.0000
0.0000 0.0000 6.4169
Li Gd Ir
8 4 4
direct
0.2500 0.2500 0.2500 Li
0.2500 0.2500 0.7500 Li
0.2500 0.7500 0.2500 Li
0.2500 0.7500 0.7500 Li
0.7500 0.2500 0.2500 Li
0.7500 0.2500 0.7500 Li
0.7500 0.7500 0.2500 Li
0.7500 0.7500 0.7500 Li
0.0000 0.0000 0.0000 Gd
0.0000 0.5000 0.5000 Gd
0.5000 0.0000 0.5000 Gd
0.5000 0.5000 0.0000 Gd
0.0000 0.0000 0.5000 Ir
0.0000 0.5000 0.0000 Ir
0.5000 0.0000 0.0000 Ir
0.5000 0.5000 0.5000 Ir